VASP calculation (PBE) on a relaxed PrHoPuHg crystal.

Results
Symmetry = F-43m
Formation energy from the elements = 0.038 eV per atom
Magnetic moment = 1.668 μB per atom

Lattice parameters (Å, degrees): 5.440 5.440 5.440 60.00 60.00 60.00
Fractional coordinates of all 4 atoms:
Ho (0.000, 0.000, 0.000)
Pr (0.500, 0.500, 0.500)
Hg (0.250, 0.250, 0.250)
Pu (0.750, 0.750, 0.750)

***

VASP calculation (PBE) on a relaxed PdRhO2 crystal.

Results
Symmetry = Pnma
Magnetic moment = 0.000 μB per atom
Uncorrected formation energy = -0.21 eV per atom

Lattice parameters (Å, degrees): 6.024 2.970 10.984 90.00 90.00 90.00
Fractional coordinates of all 16 atoms:
O (0.177, 0.750, 0.451)
O (0.066, 0.750, 0.197)
O (0.934, 0.250, 0.803)
O (0.434, 0.250, 0.697)
O (0.566, 0.750, 0.303)
O (0.323, 0.250, 0.951)
O (0.823, 0.250, 0.549)
O (0.677, 0.750, 0.049)
Pd (0.384, 0.250, 0.385)
Pd (0.616, 0.750, 0.615)
Pd (0.116, 0.750, 0.885)
Pd (0.884, 0.250, 0.115)
Rh (0.894, 0.750, 0.359)
Rh (0.606, 0.250, 0.859)
Rh (0.394, 0.750, 0.141)
Rh (0.106, 0.250, 0.641)

***

VASP calculation (PBE) on a relaxed YMgPdF2 crystal.

Results
Symmetry = P4/mmm
Polymorph energy (0 for the lowest one) = 0 meV per atom
Magnetic moment = 0.114 μB per atom
Uncorrected formation energy = -1.79 eV per atom

Lattice parameters (Å, degrees): 3.861 9.399 3.861 90.00 90.00 90.00
Fractional coordinates of all 5 atoms:
Y (0.000, 0.500, 0.000)
F (0.500, 0.000, 0.000)
F (0.000, 0.000, 0.500)
Mg (0.000, 0.000, 0.000)
Pd (0.500, 0.500, 0.500)

***

Q: What is the magnetic moment in the second record?
A: 0.000 μB per atom

***

Q: What is the formula in the third record?
A: YMgPdF2